1.
This record from the Alexandria database describes a relaxed KMg crystal. The functional is GGA-PBE.

Lattice parameters (Å, degrees): 10.487 4.886 7.371 90.00 90.00 90.00
Space group Pnma (No. 62)
Symmetry-distinct sites (fractional):
K1 0.178 0.250 0.106 (multiplicity 4)
Mg1 0.033 0.250 0.611 (multiplicity 4)

Output
DOS at the Fermi energy ... 1.21 states/eV/f.u.
Energy of formation ... 0.4 eV per formula unit
Total energy ... -9.0 eV/cell


2.
This record from the Alexandria database describes a relaxed Na3Tm2TlO6 crystal. The functional is GGA-PBE.

Lattice parameters (Å, degrees): 5.836 10.099 5.942 90.00 109.18 90.00
Space group C2/m (No. 12)
Symmetry-distinct sites (fractional):
Na1 0.000 0.000 0.000 (multiplicity 2)
Na2 0.000 0.337 0.000 (multiplicity 4)
Tm1 0.000 0.167 0.500 (multiplicity 4)
Tl1 0.000 0.500 0.500 (multiplicity 2)
O1 0.227 0.000 0.718 (multiplicity 4)
O2 0.245 0.328 0.716 (multiplicity 8)

Output
DOS at the Fermi energy ... 0.00 states/eV/f.u.
Total energy ... -144.1 eV/cell
E_form (uncorrected) ... -2253 meV/atom